# PbAu PBE relaxed
data_PbAu
_symmetry_space_group_name_H-M 'P -3 m 1'
_symmetry_Int_Tables_number 164
_symmetry_space_group_name_Hall '-P 3 2"'
_cell_length_a 5.1316
_cell_length_b 5.1316
_cell_length_c 13.7364
_cell_angle_alpha 90.00
_cell_angle_beta 90.00
_cell_angle_gamma 120.00
loop_
_atom_site_label
_atom_site_fract_x
_atom_site_fract_y
_atom_site_fract_z
Pb1 0.0000 0.0000 0.1934
Pb2 0.3333 0.6667 0.0725
Pb3 0.3333 0.6667 0.4209
Au1 0.0000 0.0000 0.3988
Au2 0.3333 0.6667 0.6474
Au3 0.3333 0.6667 0.8551
# **Total magnetization**: 0.0 μB per formula unit
# **Density**: 12.85 g cm⁻³
# **Energy of formation from the pure elements**: -34 meV per atom
# **VASP energy**: -3.527 eV per atom